Entry from Alexandria via LeMat-Bulk: crystalline CdAsAu3 at its relaxed geometry (PBE).

Output
The volume comes out at 24.83 Å³/atom. The calculation puts the energy relative to the lowest polymorph listed for this composition at 0.000 eV per formula unit. Its total magnetization is 0.0 μB per formula unit. The space group is Pm-3m (221). Its calculated density is 10.41 Mg/m³. As for the crystal system: cubic. Its formation energy is 0.284 eV/atom.

Cell lengths 4.989, 4.989, 4.989 Å; angles 90.00, 90.00, 90.00 degrees
Sites, in units of the cell vectors:
As (0.000, 0.000, 0.000)
Au (0.000, 0.500, 0.000)
Au (0.000, 0.000, 0.500)
Au (0.500, 0.000, 0.000)
Cd (0.500, 0.500, 0.500)